VASP calculation (PBE) on a geometry-optimized AgBiSeS structure.

a b c (Å): 4.2002 4.2002 14.0020
angles (deg): 90.00 90.00 120.00
Space group P6_3mc (No. 186)
Inequivalent atoms, fractional coordinates:
Ag1 0.0000 0.0000 0.0000 (multiplicity 2)
Bi1 0.3333 0.6667 0.2771 (multiplicity 2)
Se1 0.3333 0.6667 0.9085 (multiplicity 2)
S1 0.0000 0.0000 0.1777 (multiplicity 2)

- Total moment: 0.000 Bohr magnetons per cell
- Total energy: -3.852 eV/atom



VASP calculation (PBE) on a geometry-optimized SmAg2BiS4 structure.

a b c (Å): 6.675 4.082 7.098
angles (deg): 90.00 111.41 90.00
Space group P2/m (No. 10)
Inequivalent atoms, fractional coordinates:
Sm1 0.000 0.000 0.000 (multiplicity 1)
Ag1 0.500 0.000 0.500 (multiplicity 1)
Ag2 0.500 0.500 0.000 (multiplicity 1)
Bi1 0.000 0.500 0.500 (multiplicity 1)
S1 0.248 0.500 0.251 (multiplicity 2)
S2 0.255 0.000 0.756 (multiplicity 2)

- Total moment: 0.000 Bohr magnetons per cell
- Total energy: -4.590 eV/atom



VASP calculation (PBE) on a geometry-optimized Ag2SnBiS4 structure.

a b c (Å): 9.044 6.787 7.080
angles (deg): 90.00 90.00 90.00
Space group Pmn2_1 (No. 31)
Inequivalent atoms, fractional coordinates:
Ag1 0.247 0.188 0.000 (multiplicity 4)
Sn1 0.000 0.314 0.500 (multiplicity 2)
Bi1 0.000 0.696 0.000 (multiplicity 2)
S1 0.000 0.332 0.130 (multiplicity 2)
S2 0.000 0.667 0.604 (multiplicity 2)
S3 0.236 0.169 0.639 (multiplicity 4)

- Total moment: 0.000 Bohr magnetons per cell
- Total energy: -3.944 eV/atom
- Density of states at the Fermi level: 5.4 states/eV/cell



VASP calculation (PBE) on a geometry-optimized AgSnBiS3 structure.

a b c (Å): 8.573 3.959 9.239
angles (deg): 90.00 96.11 90.00
Space group P2_1/m (No. 11)
Inequivalent atoms, fractional coordinates:
Ag1 0.127 0.250 0.039 (multiplicity 2)
Sn1 0.224 0.750 0.770 (multiplicity 2)
Bi1 0.359 0.750 0.332 (multiplicity 2)
S1 0.010 0.750 0.222 (multiplicity 2)
S2 0.326 0.250 0.574 (multiplicity 2)
S3 0.408 0.250 0.142 (multiplicity 2)

- Total moment: 0.000 Bohr magnetons per cell
- Total energy: -4.097 eV/atom



VASP calculation (PBE) on a geometry-optimized Ag2SnBiS4 structure.

a b c (Å): 5.549 5.549 11.361
angles (deg): 90.00 90.00 90.00
Space group I-4m2 (No. 119)
Inequivalent atoms, fractional coordinates:
Ag1 0.000 0.000 0.000 (multiplicity 2)
Ag2 0.000 0.500 0.250 (multiplicity 2)
Sn1 0.000 0.000 0.500 (multiplicity 2)
Bi1 0.000 0.500 0.750 (multiplicity 2)
S1 0.000 0.000 0.256 (multiplicity 4)
S2 0.000 0.500 0.000 (multiplicity 4)

- Total moment: 0.000 Bohr magnetons per cell
- Total energy: -3.974 eV/atom
- Density of states at the Fermi level: 4.6 states/eV/cell



VASP calculation (PBE) on a geometry-optimized SrAgBi2S4 structure.

a b c (Å): 4.389 13.205 13.912
angles (deg): 90.00 90.00 90.00
Space group Cmcm (No. 63)
Inequivalent atoms, fractional coordinates:
Sr1 0.000 0.131 0.250 (multiplicity 4)
Ag1 0.000 0.129 0.750 (multiplicity 4)
Bi1 0.000 0.376 0.053 (multiplicity 8)
S1 0.000 0.000 0.000 (multiplicity 4)
S2 0.000 0.271 0.616 (multiplicity 8)
S3 0.000 0.468 0.250 (multiplicity 4)

- Total moment: 0.000 Bohr magnetons per cell
- Total energy: -4.244 eV/atom
- Density of states at the Fermi level: 3.4 states/eV/cell



For each record above, in turn, the calculated ρ values are 6.64 6.49 5.13 5.66 6.38 6.11 g cm⁻³.
For each record above, in turn, the calculated formation energy (no corrections) values are -0.266 -0.738 -0.182 -0.244 -0.212 -0.644 eV/atom.